Tm2GaCu after structural relaxation. Source: the Alexandria database, functional PBE.

Computed properties:
Calculated density: 7.759 g/cm3
DFT formation energy: 0.171 eV/atom
Crystal system: trigonal

a b c (Å): 3.3918 3.3918 30.3595
angles (deg): 90.00 90.00 120.00
Closest atoms and distances in Å follow each position.
Space group R-3m (No. 166, hexagonal axes)
Asymmetric unit:
Tm  0.0000  0.0000  0.0982 (multiplicity 6)  3 Cu 2.85, 1 Ga 2.98
Ga  0.0000  0.0000  0.0000 (multiplicity 3)  2 Tm 2.98
Cu  0.0000  0.0000  0.5000 (multiplicity 3)  6 Tm 2.85


TmGa6Cu after structural relaxation. Source: the Alexandria database, functional PBE.

Computed properties:
Calculated density: 7.401 g/cm3
DFT formation energy: -0.200 eV/atom
Crystal system: orthorhombic

a b c (Å): 6.7867 9.9905 4.3071
angles (deg): 90.00 90.00 90.00
Closest atoms and distances in Å follow each position.
Space group Cmmm (No. 65)
Asymmetric unit:
Tm  0.0000  0.0000  0.0000 (multiplicity 2)  12 Ga 2.99-3.06
Ga  0.0000  0.2169  0.5000 (multiplicity 4)  6 Ga 2.76-3.00, 2 Tm 3.06
Ga  0.1953  0.5000  0.5000 (multiplicity 4)  2 Cu 2.53, 1 Ga 2.65
Ga  0.2500  0.2500  0.0000 (multiplicity 4)  4 Ga 2.76, 2 Tm 3.02, 2 Cu 3.02
Cu  0.0000  0.5000  0.0000 (multiplicity 2)  4 Ga 2.53


TmGaCu2 after structural relaxation. Source: the Alexandria database, functional PBE.

Computed properties:
Calculated density: 8.987 g/cm3
DFT formation energy: -0.352 eV/atom
Crystal system: orthorhombic

a b c (Å): 7.7166 6.5676 5.3340
angles (deg): 90.00 90.00 90.00
Closest atoms and distances in Å follow each position.
Space group Pnma (No. 62)
Asymmetric unit:
Tm  0.0513  0.2500  0.1484 (multiplicity 4)  6 Cu 2.88-2.99, 3 Ga 2.93-3.07
Ga  0.1078  0.7500  0.3507 (multiplicity 4)  6 Cu 2.45-2.58
Cu  0.1810  0.0547  0.6058 (multiplicity 8)  3 Ga 2.45-2.58, 1 Cu 2.57


TmGa6Cu6 after structural relaxation. Source: the Alexandria database, functional PBE.

Computed properties:
Calculated density: 8.414 g/cm3
DFT formation energy: -0.285 eV/atom
Crystal system: orthorhombic

a b c (Å): 5.1644 8.5211 8.6878
angles (deg): 90.00 90.00 90.00
Closest atoms and distances in Å follow each position.
Space group Immm (No. 71)
Asymmetric unit:
Tm  0.0000  0.0000  0.0000 (multiplicity 2)  8 Ga 2.95-3.07, 4 Cu 3.26
Ga  0.0000  0.0000  0.3470 (multiplicity 4)  6 Cu 2.63, 3 Ga 2.66-2.92
Ga  0.0000  0.3463  0.0000 (multiplicity 4)  1 Ga 2.62, 6 Cu 2.66-2.76
Ga  0.0000  0.5000  0.3093 (multiplicity 4)  6 Cu 2.54-2.59
Cu  0.0000  0.2670  0.5000 (multiplicity 4)  4 Cu 2.53, 6 Ga 2.59-2.76
Cu  0.2500  0.2500  0.2500 (multiplicity 8)  4 Cu 2.53-2.58, 6 Ga 2.54-2.66